VASP calculation (PBE) on an optimized crystal structure of TaMnI3.

Geometry as POSCAR:
```
TaMnI3
1.0
5.596 0.000 0.000
0.000 5.596 0.000
0.000 0.000 5.596
Ta I Mn
1 3 1
direct
0.000 0.000 0.000
0.000 0.000 0.500
0.500 0.000 0.000
0.000 0.500 0.000
0.500 0.500 0.500
```

symmetry = No. 221

---

VASP calculation (PBE) on an optimized crystal structure of Ta3MnI.

Geometry as POSCAR:
```
Ta3MnI
1.0
-1.141 4.305 1.497
-3.980 -1.693 1.836
2.222 -0.822 4.058
Ta I Mn
3 1 1
direct
0.500 0.000 0.000
0.000 0.000 0.500
0.000 0.500 0.000
0.500 0.500 0.500
0.000 0.000 0.000
```

symmetry = No. 221

---

VASP calculation (PBE) on an optimized crystal structure of Ta2MnI.

Geometry as POSCAR:
```
Ta2MnI
1.0
0.000 3.295 3.295
3.295 0.000 3.295
3.295 3.295 0.000
Ta Mn I
2 1 1
direct
0.750 0.750 0.750
0.250 0.250 0.250
0.000 0.000 0.000
0.500 0.500 0.500
```

symmetry = No. 225

---

VASP calculation (PBE) on an optimized crystal structure of TaMnTeI2.

Geometry as POSCAR:
```
TaMnTeI2
1.0
-2.104 -3.317 -4.001
-1.436 -3.777 3.887
-4.826 2.399 0.549
Te I Mn Ta
1 2 1 1
direct
0.000 0.000 0.500
0.000 0.500 0.000
0.500 0.000 0.000
0.500 0.500 0.500
0.000 0.000 0.000
```

symmetry = No. 123

---

Computed electronic total energy (eV/atom) in order:
-4.437 -8.195 -7.803 -4.828